# 1
{
  "formula": "Gd3Y",
  "functional": "SCAN",
  "state": "single point on PBEsol structure",
  "final_energy_ev_per_atom": -50.992,
  "m_tot_mub_per_fu": 24.99,
  "e_form_ev_per_atom": 0.0811,
  "lattice_angstrom": [[4.946, 0.000, 0.000], [0.000, 4.946, 0.000], [0.000, 0.000, 4.946]],
  "species": ["Gd", "Gd", "Gd", "Y"],
  "fractional_positions": [[0.000, 0.000, 0.500], [0.000, 0.500, 0.000], [0.500, 0.000, 0.000], [0.500, 0.500, 0.500]]
}

=====

# 2
{
  "formula": "TbNd3",
  "functional": "SCAN",
  "state": "single point on PBEsol structure",
  "final_energy_ev_per_atom": -44.349,
  "m_tot_mub_per_fu": 0.00,
  "e_form_ev_per_atom": 0.0284,
  "lattice_angstrom": [[7.188, 0.000, 0.000], [-3.594, 6.225, 0.000], [0.000, 0.000, 5.798]],
  "species": ["Tb", "Tb", "Nd", "Nd", "Nd", "Nd", "Nd", "Nd"],
  "fractional_positions": [[0.333, 0.667, 0.250], [0.667, 0.333, 0.750], [0.167, 0.334, 0.750], [0.167, 0.833, 0.750], [0.334, 0.167, 0.250], [0.666, 0.833, 0.750], [0.833, 0.167, 0.250], [0.833, 0.666, 0.250]]
}

=====

# 3
{
  "formula": "YInTc2",
  "functional": "SCAN",
  "state": "single point on PBEsol structure",
  "final_energy_ev_per_atom": -33.017,
  "m_tot_mub_per_fu": 0.00,
  "e_form_ev_per_atom": -0.1795,
  "lattice_angstrom": [[3.053, 0.000, 0.000], [0.000, 3.053, 0.000], [0.000, 0.000, 8.018]],
  "species": ["Y", "In", "Tc", "Tc"],
  "fractional_positions": [[0.000, 0.000, 0.000], [0.500, 0.500, 0.319], [0.000, 0.000, 0.570], [0.500, 0.500, 0.737]]
}

=====

# 4
{
  "formula": "RbTl2Pt2",
  "functional": "SCAN",
  "state": "single point on PBEsol structure",
  "final_energy_ev_per_atom": -61.376,
  "m_tot_mub_per_fu": 0.00,
  "e_form_ev_per_atom": -0.2076,
  "lattice_angstrom": [[-1.940, 1.940, 8.884], [1.940, -1.940, 8.884], [1.940, 1.940, -8.884]],
  "species": ["Rb", "Tl", "Tl", "Pt", "Pt"],
  "fractional_positions": [[0.000, 0.000, 0.000], [0.363, 0.363, 0.000], [0.637, 0.637, 0.000], [0.250, 0.750, 0.500], [0.750, 0.250, 0.500]]
}

=====

# 5
{
  "formula": "Li3La",
  "functional": "SCAN",
  "state": "single point on PBEsol structure",
  "de_polymorph_mev_per_atom": 20,
  "final_energy_ev_per_atom": -12.486,
  "m_tot_mub_per_fu": 0.45,
  "e_form_ev_per_atom": 0.0828,
  "lattice_angstrom": [[3.283, 0.000, 0.000], [-1.642, 2.843, 0.000], [0.000, 0.000, 10.745]],
  "species": ["Li", "Li", "Li", "La"],
  "fractional_positions": [[0.000, 0.000, 0.000], [0.333, 0.667, 0.228], [0.333, 0.667, 0.772], [0.000, 0.000, 0.500]]
}

=====

# 6
{
  "formula": "BeAl2Mo",
  "functional": "SCAN",
  "state": "single point on PBEsol structure",
  "final_energy_ev_per_atom": -13.989,
  "m_tot_mub_per_fu": 0.00,
  "e_form_ev_per_atom": -0.3035,
  "lattice_angstrom": [[-1.803, 1.803, 4.078], [1.803, -1.803, 4.078], [1.803, 1.803, -4.078]],
  "species": ["Be", "Al", "Al", "Mo"],
  "fractional_positions": [[0.000, 0.000, 0.000], [0.250, 0.750, 0.500], [0.750, 0.250, 0.500], [0.500, 0.500, 0.000]]
}

=====

# 7
{
  "formula": "LaSc2Be",
  "functional": "SCAN",
  "state": "single point on PBEsol structure",
  "final_energy_ev_per_atom": -18.710,
  "m_tot_mub_per_fu": 0.87,
  "e_form_ev_per_atom": 0.2735,
  "lattice_angstrom": [[0.000, 3.547, 3.547], [3.547, 0.000, 3.547], [3.547, 3.547, 0.000]],
  "species": ["La", "Sc", "Sc", "Be"],
  "fractional_positions": [[0.000, 0.000, 0.000], [0.250, 0.250, 0.250], [0.500, 0.500, 0.500], [0.750, 0.750, 0.750]]
}

=====

# 8
{
  "formula": "MnAg2Hg",
  "functional": "SCAN",
  "state": "single point on PBEsol structure",
  "final_energy_ev_per_atom": -37.285,
  "m_tot_mub_per_fu": 4.27,
  "e_form_ev_per_atom": 0.0041,
  "lattice_angstrom": [[2.981, 0.000, 0.000], [0.000, 2.981, 0.000], [0.000, 0.000, 7.730]],
  "species": ["Mn", "Ag", "Ag", "Hg"],
  "fractional_positions": [[0.000, 0.000, 0.000], [0.500, 0.500, 0.228], [0.500, 0.500, 0.772], [0.000, 0.000, 0.500]]
}

=====

# 9
{
  "formula": "Sr2YP",
  "functional": "SCAN",
  "state": "single point on PBEsol structure",
  "final_energy_ev_per_atom": -21.110,
  "m_tot_mub_per_fu": 1.63,
  "e_form_ev_per_atom": -0.4119,
  "lattice_angstrom": [[3.685, 0.000, 0.000], [0.000, 3.685, 0.000], [0.000, 0.000, 9.667]],
  "species": ["Sr", "Sr", "Y", "P"],
  "fractional_positions": [[0.000, 0.000, 0.170], [0.000, 0.000, 0.830], [0.500, 0.500, 0.500], [0.500, 0.500, 0.000]]
}

=====

# 10
{
  "formula": "BaYMo2",
  "functional": "SCAN",
  "state": "single point on PBEsol structure",
  "de_polymorph_mev_per_atom": 230,
  "final_energy_ev_per_atom": -33.580,
  "m_tot_mub_per_fu": 0.00,
  "e_form_ev_per_atom": 0.7107,
  "lattice_angstrom": [[3.495, 0.000, 0.000], [0.000, 4.480, 0.000], [0.000, 0.000, 6.923]],
  "species": ["Ba", "Y", "Mo", "Mo"],
  "fractional_positions": [[0.000, 0.000, 0.000], [0.000, 0.000, 0.500], [0.500, 0.500, 0.345], [0.500, 0.500, 0.655]]
}

=====

# 11
{
  "formula": "AsIr2Pb",
  "functional": "SCAN",
  "state": "single point on PBEsol structure",
  "de_polymorph_mev_per_atom": 376,
  "final_energy_ev_per_atom": -58.891,
  "m_tot_mub_per_fu": 0.00,
  "e_form_ev_per_atom": 0.6513,
  "lattice_angstrom": [[-1.542, 2.618, 4.395], [1.542, -2.618, 4.395], [1.542, 2.618, -4.395]],
  "species": ["As", "Ir", "Ir", "Pb"],
  "fractional_positions": [[0.000, 0.000, 0.000], [0.215, 0.715, 0.500], [0.785, 0.285, 0.500], [0.500, 0.500, 0.000]]
}

=====

# 12
{
  "formula": "TaTiF2",
  "functional": "SCAN",
  "state": "single point on PBEsol structure",
  "de_polymorph_mev_per_atom": 0,
  "final_energy_ev_per_atom": -24.093,
  "m_tot_mub_per_fu": 0.00,
  "lattice_angstrom": [[1.381, 0.798, 7.483], [-1.381, 0.798, 7.483], [0.000, -1.595, 7.483]],
  "species": ["Ta", "Ti", "F", "F"],
  "fractional_positions": [[0.000, 0.000, 0.000], [0.500, 0.500, 0.500], [0.101, 0.101, 0.101], [0.899, 0.899, 0.899]]
}